Entry 1:
The following is a PBE calculation of a geometry-optimized Sm3TmGa structure, from Alexandria.

The total moment is 0.000 μB per atom. The density of states at the Fermi level comes out at 1.454 states/eV per atom. The space group is C2/m (12). As for the calculated formation energy: -6.1 kJ per mole of atoms.

Unit cell a=7.504 b=7.504 c=7.506 alpha=105.61 beta=117.57 gamma=105.54
Atoms (fractional coordinates):
Sm  0.844  0.037  0.260
Sm  0.223  0.416  0.260
Sm  0.777  0.584  0.740
Sm  0.724  0.442  0.165
Sm  0.156  0.963  0.740
Sm  0.276  0.558  0.835
Tm  0.701  0.062  0.764
Tm  0.299  0.938  0.236
Ga  0.625  0.755  0.380
Ga  0.375  0.245  0.620

Entry 2:
The following is a PBE calculation of a geometry-optimized CsSn2Se2 structure, from Alexandria.

For the raw formation energy, the calculation gives -1.7 eV/f.u. The value obtained for the polymorph energy (0 for the lowest one) is 214.1 meV per atom. The total moment is 0.000 μB per atom. The density of states at the Fermi level comes out at 0.428 states/eV per atom. The space group is P4/mbm (127).

Unit cell a=9.334 b=9.334 c=3.887 alpha=90.00 beta=90.00 gamma=90.00
Atoms (fractional coordinates):
Cs  0.000  0.000  0.000
Cs  0.500  0.500  0.000
Sn  0.111  0.611  0.500
Sn  0.611  0.889  0.500
Sn  0.889  0.389  0.500
Sn  0.389  0.111  0.500
Se  0.359  0.859  0.000
Se  0.859  0.641  0.000
Se  0.641  0.141  0.000
Se  0.141  0.359  0.000

Entry 3:
The following is a PBE calculation of a geometry-optimized Li6PuCl8 structure, from Alexandria.

For the raw formation energy, the calculation gives -25.8 eV/f.u. The total moment is 0.400 μB per atom. The density of states at the Fermi level comes out at 1.277 states/eV per atom. The space group is Fm-3m (225).

Unit cell a=7.527 b=7.527 c=7.527 alpha=60.00 beta=60.00 gamma=60.00
Site moments in Bohr magnetons follow the coordinates.
Atoms (fractional coordinates):
Li  0.000  0.500  0.500  0.00
Li  0.500  0.000  0.000  0.00
Li  0.500  0.500  0.000  0.00
Li  0.000  0.000  0.500  0.00
Li  0.000  0.500  0.000  0.00
Li  0.500  0.000  0.500  0.00
Pu  0.000  0.000  0.000  5.73
Cl  0.750  0.750  0.750  0.00
Cl  0.250  0.250  0.250  0.00
Cl  0.740  0.260  0.260  -0.01
Cl  0.260  0.740  0.740  -0.01
Cl  0.260  0.260  0.740  -0.01
Cl  0.740  0.740  0.260  -0.01
Cl  0.740  0.260  0.740  -0.01
Cl  0.260  0.740  0.260  -0.01

Entry 4:
The following is a PBE calculation of a geometry-optimized Dy6InHg3 structure, from Alexandria.

The total moment is 0.000 μB per atom. The density of states at the Fermi level comes out at 0.822 states/eV per atom. The space group is P2_1/m (11). As for the calculated formation energy: -34.3 kJ per mole of atoms.

Unit cell a=5.168 b=9.473 c=11.532 alpha=105.62 beta=90.00 gamma=90.00
Atoms (fractional coordinates):
Dy  0.250  0.468  0.098
Dy  0.750  0.532  0.902
Dy  0.250  0.123  0.171
Dy  0.750  0.877  0.829
Dy  0.250  0.646  0.683
Dy  0.750  0.354  0.317
Dy  0.250  0.246  0.498
Dy  0.750  0.754  0.502
Dy  0.250  0.837  0.320
Dy  0.750  0.163  0.680
Dy  0.250  0.121  0.890
Dy  0.750  0.879  0.110
In  0.250  0.948  0.618
In  0.750  0.052  0.382
Hg  0.250  0.527  0.383
Hg  0.750  0.473  0.617
Hg  0.250  0.373  0.780
Hg  0.750  0.627  0.220
Hg  0.250  0.779  0.966
Hg  0.750  0.221  0.034

Entry 5:
The following is a PBE calculation of a geometry-optimized ZrSiN2O structure, from Alexandria.

For the raw formation energy, the calculation gives -6.4 eV/f.u. The total moment is 0.000 μB per atom. The density of states at the Fermi level comes out at 0.026 states/eV per atom. The space group is P4/mmm (123).

Unit cell a=3.671 b=3.671 c=3.466 alpha=90.00 beta=90.00 gamma=90.00
Atoms (fractional coordinates):
Si  0.000  0.000  0.000
O  0.000  0.000  0.500
Zr  0.500  0.500  0.500
N  0.000  0.500  0.000
N  0.500  0.000  0.000

Entry 6:
The following is a PBE calculation of a geometry-optimized HfSc2Si2Rh5 structure, from Alexandria.

For the raw formation energy, the calculation gives -10.3 eV/f.u. The total moment is 0.000 μB per atom. The density of states at the Fermi level comes out at 0.193 states/eV per atom. The space group is P4/mbm (127).

Unit cell a=3.533 b=9.492 c=9.492 alpha=90.00 beta=90.00 gamma=90.00
Atoms (fractional coordinates):
Hf  0.000  0.000  0.000
Hf  0.000  0.500  0.500
Sc  0.000  0.673  0.173
Sc  0.000  0.327  0.827
Sc  0.000  0.173  0.327
Sc  0.000  0.827  0.673
Si  0.000  0.124  0.624
Si  0.000  0.876  0.376
Si  0.000  0.624  0.876
Si  0.000  0.376  0.124
Rh  0.500  0.212  0.071
Rh  0.500  0.788  0.929
Rh  0.500  0.071  0.788
Rh  0.500  0.712  0.429
Rh  0.500  0.929  0.212
Rh  0.500  0.288  0.571
Rh  0.500  0.571  0.712
Rh  0.500  0.429  0.288
Rh  0.500  0.500  0.000
Rh  0.500  0.000  0.500

Entry 7:
The following is a PBE calculation of a geometry-optimized CaTeRhSe2 structure, from Alexandria.

For the raw formation energy, the calculation gives -2.2 eV/f.u. The total moment is 0.000 μB per atom. The density of states at the Fermi level comes out at 1.303 states/eV per atom. The space group is P4/mmm (123).

Unit cell a=4.862 b=5.586 c=4.862 alpha=90.00 beta=90.00 gamma=90.00
Atoms (fractional coordinates):
Ca  0.500  0.500  0.500
Te  0.000  0.500  0.000
Rh  0.000  0.000  0.000
Se  0.000  0.000  0.500
Se  0.500  0.000  0.000

Entry 8:
The following is a PBE calculation of a geometry-optimized CrSbBr structure, from Alexandria.

For the raw formation energy, the calculation gives 0.1 eV/f.u. The value obtained for the polymorph energy (0 for the lowest one) is 0.0 meV per atom. The total moment is 1.280 μB per atom. The density of states at the Fermi level comes out at 0.700 states/eV per atom. The space group is Fmm2 (42).

Unit cell a=8.022 b=7.850 c=3.328 alpha=80.80 beta=75.03 gamma=24.17
Site moments in Bohr magnetons follow the coordinates.
Atoms (fractional coordinates):
Br  0.949  0.949  0.051  0.04
Cr  0.340  0.340  0.660  3.58
Sb  0.711  0.711  0.289  -0.08

Question: What is the formula in the third record?
Answer: Li6PuCl8

Question: Look up the total moment of the sixth one.
Answer: 0.000 μB per atom